DFT (PBE-GGA) results for a geometry-optimized TaTl2Ni structure.

```
TaTl2Ni
1.0
-5.220 -1.103 -7.447
-5.602 -3.926 -6.094
-7.395 -1.492 -5.197
Ni Ta Tl
1 1 2
Cartesian
-4.554 -1.630 -4.685
-13.663 -4.891 -14.054
-18.069 -6.468 -18.586
-9.257 -3.313 -9.522
```

The calculation puts the formation energy at 0.532 eV/atom. Its symmetry is No. 166. The calculation puts the magnetization at 0.0 μB per cell. For the calculated density, the calculation gives 13.9 g cm⁻³.